! KGa3Ru | Alexandria | GGA-PBE | relaxed; values from VASP
&SYSTEM
  ibrav = 0, nat = 5, ntyp = 3
/
ATOMIC_SPECIES
K 39.10 K.upf
Ga 69.72 Ga.upf
Ru 101.07 Ru.upf
ATOMIC_POSITIONS crystal
K 0.000 0.000 0.000
Ga 0.000 0.500 0.500
Ga 0.500 0.000 0.500
Ga 0.500 0.500 0.000
Ru 0.500 0.500 0.500
CELL_PARAMETERS angstrom
4.913 0.000 0.000
0.000 4.913 0.000
0.000 0.000 4.913
! Spin magnetization   0.000 μB/atom
! Calculated total energy   -4.179 eV/atom
! Polymorph energy (0 for the lowest one)   0 meV/atom
! Formation energy   -6.64 kcal/mol of atoms